Compound: Tc2AsPt
Source: the Alexandria database
Functional: PBE-GGA
Structure: optimized geometry

Properties
energy relative to the elements	0.25	eV per formula unit
total energy	-7.792	eV/atom
SG	Pmm2
D(E_F)	1.009	states/eV per atom

POSCAR file:
```
Tc2AsPt
1.0
-0.570 0.863 2.685
-0.636 -3.602 1.023
5.438 -0.580 1.341
As Pt Tc
1 1 2
Cartesian
2.621 -0.279 0.646
3.510 -1.808 2.868
0.140 -0.015 0.034
0.679 -1.506 2.170
```

Compound: Tc2AsPt
Source: the Alexandria database
Functional: PBE-GGA
Structure: optimized geometry

Properties
energy relative to the elements	0.02	eV per formula unit
total energy	-7.851	eV/atom
SG	P4mm
D(E_F)	0.546	states/eV per atom

POSCAR file:
```
Tc2AsPt
1.0
2.878 0.000 0.000
0.000 2.878 0.000
0.000 0.000 7.400
Tc As Pt
2 1 1
Cartesian
0.000 0.000 0.144
1.439 1.439 1.825
0.000 0.000 3.562
1.439 1.439 5.569
```

Compound: Tc2AsPt
Source: the Alexandria database
Functional: PBE-GGA
Structure: optimized geometry

Properties
energy relative to the elements	0.42	eV per formula unit
total energy	-7.752	eV/atom
SG	I-4m2
D(E_F)	0.800	states/eV per atom

POSCAR file:
```
Tc2AsPt
1.0
4.775 -0.016 0.000
1.568 4.510 0.000
-3.172 -2.247 2.774
Tc Pt As
2 1 1
Cartesian
0.784 2.255 1.387
0.000 0.000 0.000
2.388 -0.008 1.387
3.172 2.247 0.000
```

Compound: Tc2AsPt
Source: the Alexandria database
Functional: PBE-GGA
Structure: optimized geometry

Properties
energy relative to the elements	-0.01	eV per formula unit
total energy	-7.858	eV/atom
SG	P4/mmm
D(E_F)	1.173	states/eV per atom

POSCAR file:
```
Tc2AsPt
1.0
-1.450 0.815 -2.488
0.538 -2.691 -1.195
-5.666 -2.269 2.558
Tc As Pt
2 1 1
Cartesian
-2.678 -1.072 1.209
-0.155 -0.062 0.070
-1.872 -1.505 -1.202
-4.705 -2.639 0.077
```

Compound: Tc2AsPt
Source: the Alexandria database
Functional: PBE-GGA
Structure: optimized geometry

Properties
energy relative to the elements	0.17	eV per formula unit
total energy	-7.812	eV/atom
SG	R-3m
D(E_F)	0.744	states/eV per atom

POSCAR file:
```
Tc2AsPt
1.0
8.610 0.007 0.004
8.134 2.825 0.004
8.134 1.376 2.468
As Tc Pt
1 2 1
Cartesian
6.219 1.052 0.619
24.752 4.186 2.463
12.565 2.125 1.250
18.658 3.156 1.857
```

Compound: TcTeAsPt2
Source: the Alexandria database
Functional: PBE-GGA
Structure: optimized geometry

Properties
total energy	-5.387	eV/atom
energy relative to the elements, uncorrected	661	meV/atom
SG	P4/mmm
D(E_F)	0.543	states/eV per atom

POSCAR file:
```
TcTeAsPt2
1.0
4.711 0.000 0.000
0.000 4.715 0.000
0.000 0.000 4.711
Tc Pt As Te
1 2 1 1
Cartesian
0.000 2.358 0.000
0.000 0.000 2.356
2.356 0.000 0.000
0.000 0.000 0.000
2.356 2.358 2.356
```

Compound: TiTcAs2Pt
Source: the Alexandria database
Functional: PBE-GGA
Structure: optimized geometry

Properties
energy relative to the elements	5.13	eV per formula unit
total energy	-5.694	eV/atom
SG	P4/mmm
D(E_F)	1.429	states/eV per atom

POSCAR file:
```
TiTcAs2Pt
1.0
-0.652 -1.327 -4.608
-2.978 -3.508 1.432
-3.748 3.041 -0.346
Ti As Tc Pt
1 2 1 1
Cartesian
-1.489 -1.754 0.716
-0.326 -0.664 -2.304
-1.874 1.521 -0.173
-3.690 -0.897 -1.761
0.000 0.000 0.000
```

Compound: YTc2AsPt
Source: the Alexandria database
Functional: PBE-GGA
Structure: optimized geometry

Properties
energy relative to the elements	4.84	eV per formula unit
total energy	-6.610	eV/atom
SG	P4/mmm
D(E_F)	1.429	states/eV per atom

POSCAR file:
```
YTc2AsPt
1.0
-3.580 -2.821 1.471
3.243 -2.226 3.624
-1.299 3.318 3.201
Pt Y As Tc
1 1 1 2
Cartesian
0.000 0.000 0.000
1.622 -1.113 1.812
-0.818 -0.865 4.148
-0.650 1.659 1.600
-1.790 -1.411 0.736
```

Compound: Te2AsPt
Source: the Alexandria database
Functional: PBE-GGA
Structure: optimized geometry

Properties
total energy	-4.293	eV/atom
energy relative to the elements, uncorrected	-50	meV/atom
SG	Immm
D(E_F)	0.371	states/eV per atom

POSCAR file:
```
Te2AsPt
1.0
6.902 0.011 -0.006
4.384 5.330 0.006
-5.469 -3.038 2.914
Te As Pt
2 1 1
Cartesian
1.096 0.519 0.000
4.547 2.152 0.000
3.538 -0.178 1.454
2.279 2.481 1.460
```

Compound: TeAs4Pt
Source: the Alexandria database
Functional: PBE-GGA
Structure: optimized geometry

Properties
total energy	-3.986	eV/atom
energy relative to the elements, uncorrected	644	meV/atom
SG	F-43m
D(E_F)	0.688	states/eV per atom

POSCAR file:
```
TeAs4Pt
1.0
0.000 3.954 3.954
3.954 0.000 3.954
3.954 3.954 0.000
As Te Pt
4 1 1
Cartesian
2.994 4.915 4.915
4.915 4.915 2.994
4.915 2.994 4.915
2.994 2.994 2.994
0.000 0.000 0.000
5.932 5.932 5.932
```

Compound: Te2AsPt
Source: the Alexandria database
Functional: PBE-GGA
Structure: optimized geometry

Properties
total energy	-4.302	eV/atom
energy relative to the elements, uncorrected	-59	meV/atom
SG	P4/mmm
D(E_F)	0.384	states/eV per atom

POSCAR file:
```
Te2AsPt
1.0
4.053 0.000 0.000
0.000 4.062 0.000
0.000 0.000 5.643
Pt As Te
1 1 2
Cartesian
2.027 2.031 4.938
0.000 0.000 2.116
0.000 0.000 4.937
2.027 2.031 2.116
```

Compound: TeAsPt2
Source: the Alexandria database
Functional: PBE-GGA
Structure: optimized geometry

Properties
total energy	-5.136	eV/atom
energy relative to the elements, uncorrected	-168	meV/atom
SG	R-3m
polymorph energy (0 for the lowest one)	125.8	meV per atom
D(E_F)	0.749	states/eV per atom

POSCAR file:
```
TeAsPt2
1.0
-1.870 3.936 -4.843
-3.516 0.502 -5.462
-5.045 2.939 -2.891
Te Pt As
1 2 1
Cartesian
-2.608 1.844 -3.299
-0.116 0.082 -0.147
-5.100 3.607 -6.452
-7.823 5.533 -9.897
```

Q: Among the records above, which one has the lowest total energy?
A: number 4